# 1
{"formula": "Pm3Ho5Bi8", "functional": "PBE-GGA", "state": "relaxed", "crystal_system": "trigonal", "ef_ev_per_atom": -0.87, "magnetic_moment_mub_per_cell": 0.0, "spacegroup": "No. 166", "lattice": [[4.509, 2.603, 7.350], [-4.509, 2.603, 7.350], [0.000, -5.207, 7.350]], "species": ["Pm", "Pm", "Pm", "Ho", "Ho", "Ho", "Ho", "Ho", "Bi", "Bi", "Bi", "Bi", "Bi", "Bi", "Bi", "Bi"], "frac_coords": [[0.000, 0.500, 0.500], [0.500, 0.000, 0.500], [0.500, 0.500, 0.000], [0.000, 0.000, 0.000], [0.000, 0.000, 0.500], [0.000, 0.500, 0.000], [0.500, 0.000, 0.000], [0.500, 0.500, 0.500], [0.245, 0.750, 0.750], [0.247, 0.247, 0.247], [0.250, 0.250, 0.755], [0.250, 0.755, 0.250], [0.750, 0.245, 0.750], [0.750, 0.750, 0.245], [0.753, 0.753, 0.753], [0.755, 0.250, 0.250]]}

=====

# 2
{"formula": "SrAsIO2", "functional": "PBE-GGA", "state": "relaxed", "crystal_system": "tetragonal", "magnetic_moment_mub_per_cell": 0.0, "raw_formation_energy_ev_per_atom": -0.036, "spacegroup": "No. 123", "lattice": [[4.484, 0.000, 0.000], [0.000, 4.484, 0.000], [0.000, 0.000, 6.790]], "species": ["Sr", "As", "I", "O", "O"], "frac_coords": [[0.000, 0.000, 0.000], [0.500, 0.500, 0.500], [0.000, 0.000, 0.500], [0.000, 0.500, 0.000], [0.500, 0.000, 0.000]]}

=====

# 3
{"formula": "CaInIr2", "functional": "PBE-GGA", "state": "relaxed", "crystal_system": "cubic", "ef_ev_per_atom": 0.13, "magnetic_moment_mub_per_cell": 0.4, "spacegroup": "No. 216", "lattice": [[0.000, 3.333, 3.333], [3.333, 0.000, 3.333], [3.333, 3.333, 0.000]], "species": ["Ca", "In", "Ir", "Ir"], "frac_coords": [[0.000, 0.000, 0.000], [0.750, 0.750, 0.750], [0.250, 0.250, 0.250], [0.500, 0.500, 0.500]]}

=====

# 4
{"formula": "LaPr2Sm", "functional": "PBE-GGA", "state": "relaxed", "crystal_system": "cubic", "ef_ev_per_atom": 0.13, "magnetic_moment_mub_per_cell": 1.3, "spacegroup": "No. 225", "lattice": [[0.000, 4.163, 4.163], [4.163, 0.000, 4.163], [4.163, 4.163, 0.000]], "species": ["La", "Pr", "Pr", "Sm"], "frac_coords": [[0.000, 0.000, 0.000], [0.250, 0.250, 0.250], [0.750, 0.750, 0.750], [0.500, 0.500, 0.500]]}

=====

# 5
{"formula": "CaCo2RhN", "functional": "PBE-GGA", "state": "relaxed", "crystal_system": "tetragonal", "magnetic_moment_mub_per_cell": 6.5, "raw_formation_energy_ev_per_atom": 1.559, "spacegroup": "No. 123", "lattice": [[4.504, 0.000, 0.000], [0.000, 4.504, 0.000], [0.000, 0.000, 5.522]], "species": ["Ca", "Co", "Co", "Rh", "N"], "frac_coords": [[0.000, 0.000, 0.000], [0.000, 0.500, 0.500], [0.500, 0.000, 0.500], [0.000, 0.000, 0.500], [0.500, 0.500, 0.000]]}

=====

# 6
{"formula": "Tb2Pm3PrAs6", "functional": "PBE-GGA", "state": "relaxed", "crystal_system": "monoclinic", "ef_ev_per_atom": -1.52, "magnetic_moment_mub_per_cell": 0.0, "spacegroup": "No. 12", "lattice": [[9.191, -2.110, 0.000], [9.191, 2.110, 0.000], [-1.936, 0.000, 8.210]], "species": ["Tb", "Tb", "Pm", "Pm", "Pm", "Pr", "As", "As", "As", "As", "As", "As"], "frac_coords": [[0.168, 0.168, 0.334], [0.832, 0.832, 0.666], [0.166, 0.166, 0.832], [0.500, 0.500, 0.500], [0.834, 0.834, 0.168], [0.500, 0.500, 0.000], [0.002, 0.002, 0.254], [0.332, 0.332, 0.420], [0.332, 0.332, 0.912], [0.668, 0.668, 0.088], [0.668, 0.668, 0.580], [0.998, 0.998, 0.746]]}

=====

# 7
{"formula": "Th2Pa3Mn2", "functional": "PBE-GGA", "state": "relaxed", "crystal_system": "monoclinic", "ef_ev_per_atom": -0.09, "magnetic_moment_mub_per_cell": 0.0, "spacegroup": "No. 12", "lattice": [[5.709, -1.784, 0.000], [5.709, 1.784, 0.000], [-3.061, 0.000, 7.936]], "species": ["Th", "Th", "Pa", "Pa", "Pa", "Mn", "Mn"], "frac_coords": [[0.166, 0.166, 0.296], [0.834, 0.834, 0.704], [0.379, 0.379, 0.068], [0.500, 0.500, 0.500], [0.621, 0.621, 0.932], [0.117, 0.117, 0.718], [0.883, 0.883, 0.282]]}

=====

# 8
{"formula": "BaLiUO5", "functional": "PBE-GGA", "state": "relaxed", "crystal_system": "monoclinic", "magnetic_moment_mub_per_cell": 1.3, "raw_formation_energy_ev_per_atom": -2.652, "spacegroup": "No. 15", "lattice": [[3.642, -4.955, 0.000], [3.642, 4.955, 0.000], [-3.377, 0.000, 7.532]], "species": ["Ba", "Ba", "Li", "Li", "U", "U", "O", "O", "O", "O", "O", "O", "O", "O", "O", "O"], "frac_coords": [[0.170, 0.830, 0.750], [0.830, 0.170, 0.250], [0.194, 0.806, 0.250], [0.806, 0.194, 0.750], [0.500, 0.500, 0.000], [0.500, 0.500, 0.500], [0.157, 0.266, 0.905], [0.222, 0.605, 0.413], [0.266, 0.157, 0.405], [0.395, 0.778, 0.087], [0.439, 0.561, 0.750], [0.561, 0.439, 0.250], [0.605, 0.222, 0.913], [0.734, 0.843, 0.595], [0.778, 0.395, 0.587], [0.843, 0.734, 0.095]]}

=====

# 9
{"formula": "Ac2Pr12Hg7", "functional": "PBE-GGA", "state": "relaxed", "crystal_system": "hexagonal", "ef_ev_per_atom": -0.26, "magnetic_moment_mub_per_cell": 0.0, "spacegroup": "No. 174", "lattice": [[14.463, 0.000, 0.000], [-7.232, 12.525, 0.000], [0.000, 0.000, 3.795]], "species": ["Ac", "Ac", "Pr", "Pr", "Pr", "Pr", "Pr", "Pr", "Pr", "Pr", "Pr", "Pr", "Pr", "Pr", "Hg", "Hg", "Hg", "Hg", "Hg", "Hg", "Hg"], "frac_coords": [[0.000, 0.000, 0.000], [0.333, 0.667, 0.500], [0.035, 0.283, 0.500], [0.100, 0.702, 0.000], [0.247, 0.965, 0.500], [0.298, 0.397, 0.000], [0.399, 0.213, 0.000], [0.543, 0.108, 0.500], [0.565, 0.457, 0.500], [0.603, 0.900, 0.000], [0.717, 0.753, 0.500], [0.787, 0.186, 0.000], [0.814, 0.601, 0.000], [0.892, 0.435, 0.500], [0.117, 0.487, 0.000], [0.202, 0.184, 0.500], [0.370, 0.883, 0.000], [0.513, 0.630, 0.000], [0.667, 0.333, 0.000], [0.816, 0.018, 0.500], [0.982, 0.798, 0.500]]}

=====

# 10
{"formula": "Be2RuCl", "functional": "PBE-GGA", "state": "relaxed", "crystal_system": "orthorhombic", "magnetic_moment_mub_per_cell": 0.0, "raw_formation_energy_ev_per_atom": 0.432, "spacegroup": "No. 44", "lattice": [[-1.519, 2.022, 3.933], [1.519, -2.022, 3.933], [1.519, 2.022, -3.933]], "species": ["Be", "Be", "Ru", "Cl"], "frac_coords": [[0.000, 0.000, 0.000], [0.775, 0.275, 0.500], [0.539, 0.539, 0.000], [0.219, 0.719, 0.500]]}

=====

# 11
{"formula": "Ca2Al5PdRh2", "functional": "PBE-GGA", "state": "relaxed", "crystal_system": "tetragonal", "ef_ev_per_atom": -0.59, "magnetic_moment_mub_per_cell": 0.0, "spacegroup": "No. 127", "lattice": [[10.833, 0.000, 0.000], [0.000, 10.833, 0.000], [0.000, 0.000, 3.053]], "species": ["Ca", "Ca", "Ca", "Ca", "Al", "Al", "Al", "Al", "Al", "Al", "Al", "Al", "Al", "Al", "Pd", "Pd", "Rh", "Rh", "Rh", "Rh"], "frac_coords": [[0.183, 0.317, 0.000], [0.317, 0.817, 0.000], [0.683, 0.183, 0.000], [0.817, 0.683, 0.000], [0.000, 0.500, 0.500], [0.054, 0.808, 0.500], [0.192, 0.054, 0.500], [0.308, 0.554, 0.500], [0.446, 0.308, 0.500], [0.500, 0.000, 0.500], [0.554, 0.692, 0.500], [0.692, 0.446, 0.500], [0.808, 0.946, 0.500], [0.946, 0.192, 0.500], [0.000, 0.000, 0.000], [0.500, 0.500, 0.000], [0.128, 0.628, 0.000], [0.372, 0.128, 0.000], [0.628, 0.872, 0.000], [0.872, 0.372, 0.000]]}

=====

# 12
{"formula": "CaTaTl2", "functional": "PBE-GGA", "state": "relaxed", "crystal_system": "orthorhombic", "ef_ev_per_atom": 0.46, "magnetic_moment_mub_per_cell": 0.0, "spacegroup": "No. 71", "lattice": [[-1.667, 2.914, 5.287], [1.667, -2.914, 5.287], [1.667, 2.914, -5.287]], "species": ["Ca", "Ta", "Tl", "Tl"], "frac_coords": [[0.000, 0.000, 0.000], [0.500, 0.500, 0.000], [0.268, 0.768, 0.500], [0.732, 0.232, 0.500]]}